12
Lattice="-2.234 1.356 2.761 0.624 -3.142 2.048 7.145 3.480 6.688" Properties=species:S:1:pos:R:3 comment="Sr2PmAl2O7, optimized geometry, DFT PBE" e_form_raw_mev_per_atom=-2918 space_group="I4/mmm (139)" n_ef_per_ev_cell=7.48 final_energy_ev_per_atom=-7.111 pbc="T T T"
Sr 1.310 -0.179 6.382
Sr 4.225 1.874 5.114
Pm 0.000 0.000 0.000
Al 4.821 1.752 8.274
Al 0.714 -0.057 3.223
O -0.805 -0.893 2.404
O 2.225 0.774 4.037
O 3.310 0.921 7.459
O -0.513 0.560 4.544
O 0.916 -1.688 4.187
O 4.618 3.383 7.309
O 6.047 1.134 6.952